Density functional theory data (GGA+U) for a relaxed ZnCo2IrO6 crystal.

## Properties
VASP energy: -5.93 eV per atom
Calculated density: 7324 kg/m³
Space group: R3

Cell and atoms, written as POSCAR:
```
ZnCo2IrO6
1.0
-3.3928 2.3104 -3.1563
-0.6094 -1.7166 -4.8476
-4.6278 -2.6805 -1.2364
Zn Co Ir O
1 2 1 6
Direct
0.8015 0.8014 0.5960 Zn
0.5249 0.5250 0.4252 Co
0.0147 0.0146 0.9561 Co
0.3212 0.3212 0.0366 Ir
0.5940 0.2295 0.2428 O
0.2293 0.9335 0.2429 O
0.9336 0.5942 0.2427 O
0.4059 0.7153 0.7576 O
0.7153 0.1212 0.7577 O
0.1212 0.4057 0.7577 O
```